(1)
Cs2TlSe2 | Alexandria via LeMat-Bulk | PBE | relaxed; formation energy (no corrections) = -859 meV per atom; energy above the lowest structure with this stoichiometry = 0.00 eV per formula unit; calculated volume = 42.443 A^3/atom; space group = P2_1/c, No. 14; crystal system = monoclinic; E_tot = -61.4 eV per cell
1.0
10.709 0.000 0.000
0.000 8.902 0.000
-2.064 0.000 8.904
Cs Tl Se
8 4 8
Direct
0.069 0.226 0.027 Cs
0.069 0.274 0.527 Cs
0.323 0.614 0.942 Cs
0.323 0.886 0.442 Cs
0.677 0.114 0.558 Cs
0.677 0.386 0.058 Cs
0.931 0.726 0.473 Cs
0.931 0.774 0.973 Cs
0.383 0.074 0.866 Tl
0.383 0.426 0.366 Tl
0.617 0.574 0.634 Tl
0.617 0.926 0.134 Tl
0.147 0.558 0.262 Se
0.147 0.942 0.762 Se
0.423 0.185 0.183 Se
0.423 0.315 0.683 Se
0.577 0.685 0.317 Se
0.577 0.815 0.817 Se
0.853 0.058 0.238 Se
0.853 0.442 0.738 Se

***

(2)
Tb4Ho2Pb3O2 | Alexandria via LeMat-Bulk | PBE | relaxed; formation energy (no corrections) = -1381 meV per atom; calculated volume = 25.284 A^3/atom; space group = I4/mmm, No. 139; crystal system = tetragonal; E_tot = -63.9 eV per cell
1.0
-2.346 2.346 12.633
2.346 -2.346 12.633
2.346 2.346 -12.633
Tb Ho Pb O
4 2 3 2
Direct
0.084 0.584 0.500 Tb
0.416 0.916 0.500 Tb
0.584 0.084 0.500 Tb
0.916 0.416 0.500 Tb
0.193 0.193 0.000 Ho
0.807 0.807 0.000 Ho
0.319 0.319 0.000 Pb
0.500 0.500 0.000 Pb
0.681 0.681 0.000 Pb
0.101 0.101 0.000 O
0.899 0.899 0.000 O

***

(3)
Y2Zn2Pt5Rh | Alexandria via LeMat-Bulk | PBE | relaxed; energy of formation = -0.724 eV/atom; calculated volume = 17.340 A^3/atom; space group = P4/mbm, No. 127; crystal system = tetragonal; E_tot = -120.5 eV per cell
1.0
9.433 0.000 0.000
0.000 9.433 0.000
0.000 0.000 3.897
Y Zn Pt Rh
4 4 10 2
Direct
0.179 0.321 0.000 Y
0.321 0.821 0.000 Y
0.679 0.179 0.000 Y
0.821 0.679 0.000 Y
0.120 0.620 0.000 Zn
0.380 0.120 0.000 Zn
0.620 0.880 0.000 Zn
0.880 0.380 0.000 Zn
0.000 0.500 0.500 Pt
0.066 0.796 0.500 Pt
0.204 0.066 0.500 Pt
0.296 0.566 0.500 Pt
0.434 0.296 0.500 Pt
0.500 0.000 0.500 Pt
0.566 0.704 0.500 Pt
0.704 0.434 0.500 Pt
0.796 0.934 0.500 Pt
0.934 0.204 0.500 Pt
0.000 0.000 0.000 Rh
0.500 0.500 0.000 Rh